A plane-wave DFT calculation with PBE-GGA was carried out for Li3Ge5Te12 after structural relaxation.

The structure in CIF format:
```
data_Li3Ge5Te12
_chemical_formula_sum 'Li24 Ge40 Te96'
_symmetry_space_group_name_H-M 'I a -3 d'
_symmetry_Int_Tables_number 230
_symmetry_space_group_name_Hall '-I 4bd 2c 3'
_cell_length_a 17.025
_cell_length_b 17.025
_cell_length_c 17.025
_cell_angle_alpha 90.00
_cell_angle_beta 90.00
_cell_angle_gamma 90.00
loop_
_atom_site_label
_atom_site_type_symbol
_atom_site_fract_x
_atom_site_fract_y
_atom_site_fract_z
Li1 Li 0.000 0.250 0.125
Ge1 Ge 0.000 0.000 0.000
Ge2 Ge 0.000 0.250 0.375
Te1 Te 0.022 0.069 0.653
```

As for the energy relative to the elements, uncorrected: -0.107 eV per atom. The magnetization comes out at 0.000 μB per atom. The total energy comes out at -0.126 hartree per atom.

***

A plane-wave DFT calculation with PBE-GGA was carried out for LiGe3Te4 after structural relaxation.

The structure in CIF format:
```
data_LiGe3Te4
_chemical_formula_sum 'Li2 Ge6 Te8'
_symmetry_space_group_name_H-M 'A m m 2'
_symmetry_Int_Tables_number 38
_cell_length_a 4.152
_cell_length_b 11.751
_cell_length_c 8.657
_cell_angle_alpha 90.00
_cell_angle_beta 90.00
_cell_angle_gamma 90.00
loop_
_symmetry_equiv_pos_as_xyz
'x,y,z'
'-x,-y,z'
'-x,y,z'
'x,-y,z'
'x,y+1/2,z+1/2'
'-x,-y+1/2,z+1/2'
'-x,y+1/2,z+1/2'
'x,-y+1/2,z+1/2'
loop_
_atom_site_label
_atom_site_type_symbol
_atom_site_fract_x
_atom_site_fract_y
_atom_site_fract_z
Li1 Li 0.000 0.000 0.000
Ge1 Ge 0.000 0.000 0.494
Ge2 Ge 0.500 0.249 0.276
Te1 Te 0.000 0.247 0.995
Te2 Te 0.500 0.000 0.244
Te3 Te 0.500 0.000 0.739
```

As for the energy relative to the elements, uncorrected: -0.229 eV per atom. The magnetization comes out at 0.000 μB per atom. The total energy comes out at -0.139 hartree per atom.

***

A plane-wave DFT calculation with PBE-GGA was carried out for Li8GeTe6 after structural relaxation.

The structure in CIF format:
```
data_Li8GeTe6
_chemical_formula_sum 'Li16 Ge2 Te12'
_symmetry_space_group_name_H-M 'P m n 21'
_symmetry_Int_Tables_number 31
_cell_length_a 8.044
_cell_length_b 8.322
_cell_length_c 11.825
_cell_angle_alpha 90.00
_cell_angle_beta 90.00
_cell_angle_gamma 90.00
loop_
_symmetry_equiv_pos_as_xyz
'x,y,z'
'-x+1/2,-y,z+1/2'
'-x,y,z'
'x+1/2,-y,z+1/2'
loop_
_atom_site_label
_atom_site_type_symbol
_atom_site_fract_x
_atom_site_fract_y
_atom_site_fract_z
Li1 Li 0.000 0.115 0.000
Li2 Li 0.000 0.247 0.441
Li3 Li 0.209 0.581 0.788
Li4 Li 0.216 0.729 0.112
Li5 Li 0.223 0.939 0.780
Ge1 Ge 0.000 0.750 0.469
Te1 Te 0.000 0.008 0.598
Te2 Te 0.000 0.251 0.218
Te3 Te 0.000 0.493 0.600
Te4 Te 0.000 0.776 0.934
Te5 Te 0.233 0.258 0.848
```

As for the energy relative to the elements, uncorrected: -0.784 eV per atom. The magnetization comes out at 0.000 μB per atom. The total energy comes out at -0.124 hartree per atom.

***

A plane-wave DFT calculation with PBE-GGA was carried out for LiGeTe after structural relaxation.

The structure in CIF format:
```
data_LiGeTe
_chemical_formula_sum 'Li1 Ge1 Te1'
_symmetry_space_group_name_H-M 'P 3 m 1'
_symmetry_Int_Tables_number 156
_cell_length_a 3.8762
_cell_length_b 3.8762
_cell_length_c 5.5445
_cell_angle_alpha 90.00
_cell_angle_beta 90.00
_cell_angle_gamma 120.00
loop_
_symmetry_equiv_pos_as_xyz
'x,y,z'
'-y,x-y,z'
'-x+y,-x,z'
'-y,-x,z'
'-x+y,y,z'
'x,x-y,z'
loop_
_atom_site_label
_atom_site_type_symbol
_atom_site_fract_x
_atom_site_fract_y
_atom_site_fract_z
Li1 Li 0.0000 0.0000 0.0000
Ge1 Ge 0.6667 0.3333 0.3473
Te1 Te 0.3333 0.6667 0.6611
```

As for the energy relative to the elements, uncorrected: -0.136 eV per atom. The magnetization comes out at 0.000 μB per atom. The total energy comes out at -0.123 hartree per atom. As for the distance to the lowest polymorph of the same formula: 290 meV per atom.

***

A plane-wave DFT calculation with PBE-GGA was carried out for LiGe5Te6 after structural relaxation.

The structure in CIF format:
```
data_LiGe5Te6
_chemical_formula_sum 'Li2 Ge10 Te12'
_symmetry_space_group_name_H-M 'C 1 2/m 1'
_symmetry_Int_Tables_number 12
_cell_length_a 7.297
_cell_length_b 12.652
_cell_length_c 7.282
_cell_angle_alpha 90.00
_cell_angle_beta 109.48
_cell_angle_gamma 90.00
loop_
_symmetry_equiv_pos_as_xyz
'x,y,z'
'-x,-y,-z'
'-x,y,-z'
'x,-y,z'
'x+1/2,y+1/2,z'
'-x+1/2,-y+1/2,-z'
'-x+1/2,y+1/2,-z'
'x+1/2,-y+1/2,z'
loop_
_atom_site_label
_atom_site_type_symbol
_atom_site_fract_x
_atom_site_fract_y
_atom_site_fract_z
Li1 Li 0.000 0.000 0.000
Ge1 Ge 0.000 0.174 0.500
Ge2 Ge 0.000 0.338 0.000
Ge3 Ge 0.000 0.500 0.500
Te1 Te 0.249 0.000 0.750
Te2 Te 0.249 0.166 0.248
```

As for the energy relative to the elements, uncorrected: -0.178 eV per atom. The magnetization comes out at 0.000 μB per atom. The total energy comes out at -0.141 hartree per atom.

***

A plane-wave DFT calculation with PBE-GGA was carried out for Li2Ge2Te5 after structural relaxation.

The structure in CIF format:
```
data_Li2Ge2Te5
_chemical_formula_sum 'Li8 Ge8 Te20'
_symmetry_space_group_name_H-M 'I m a 2'
_symmetry_Int_Tables_number 46
_cell_length_a 18.674
_cell_length_b 7.842
_cell_length_c 7.194
_cell_angle_alpha 90.00
_cell_angle_beta 90.00
_cell_angle_gamma 90.00
loop_
_symmetry_equiv_pos_as_xyz
'x,y,z'
'-x,-y,z'
'-x+1/2,y,z'
'x+1/2,-y,z'
'x+1/2,y+1/2,z+1/2'
'-x+1/2,-y+1/2,z+1/2'
'-x,y+1/2,z+1/2'
'x,-y+1/2,z+1/2'
loop_
_atom_site_label
_atom_site_type_symbol
_atom_site_fract_x
_atom_site_fract_y
_atom_site_fract_z
Li1 Li 0.113 0.007 0.000
Ge1 Ge 0.000 0.000 0.531
Ge2 Ge 0.250 0.566 0.999
Te1 Te 0.046 0.740 0.789
Te2 Te 0.143 0.124 0.622
Te3 Te 0.250 0.606 0.619
```

As for the energy relative to the elements, uncorrected: -0.234 eV per atom. The magnetization comes out at 0.000 μB per atom. The total energy comes out at -0.126 hartree per atom.